Compound: Tl2InRu
Source: Alexandria
Functional: PBE
Structure: relaxed

Cell: 9.7710 9.7710 9.7710 Å, 19.83 19.83 19.83°
Closest atoms and distances in Å follow each position.
Positions (direct):
1 In 0.2500 0.2500 0.2500  6 In 3.36, 6 Tl 3.37
2 Tl 0.4876 0.4876 0.4876  3 Ru 2.82
3 Tl 0.0124 0.0124 0.0124  3 Ru 2.82
4 Ru 0.7500 0.7500 0.7500  6 Tl 2.82

## Properties
Formation energy from the elements, eV/atom: 0.438
Relative energy among the computed polymorphs, meV/atom: 248
SG: R-3m